[1]
A PBEsol-optimized structure of Cu2PtW. Source: Alexandria, functional meta-GGA SCAN.

Structure (POSCAR):
```
Cu2PtW
1.0
-1.5811 1.9799 -0.8884
-2.7330 -1.0766 2.4645
2.0093 3.2394 3.6433
Cu W Pt
2 1 1
Direct
0.0000 0.0000 0.0149
0.5000 0.5000 0.2328
0.5000 0.5000 0.7432
0.0000 0.0000 0.5091
```

Output
Formation energy from the elements: 0.05 eV/atom
SG: Pmm2
DOS at the Fermi energy: 0.77 states/eV/atom
Total energy: -42.523 eV per atom

[2]
A PBEsol-optimized structure of Cu2PtW. Source: Alexandria, functional meta-GGA SCAN.

Structure (POSCAR):
```
Cu2PtW
1.0
2.7766 0.0000 0.0000
0.0000 4.3975 0.0000
-1.3883 -2.1988 4.3359
Pt W Cu
1 1 2
Direct
0.5100 0.5100 0.0200
0.7428 0.2428 0.4855
0.9855 0.9855 0.9709
0.2618 0.7618 0.5236
```

Output
Formation energy from the elements: 0.13 eV/atom
SG: Imm2
DOS at the Fermi energy: 0.50 states/eV/atom
Total energy: -42.435 eV per atom

[3]
A PBEsol-optimized structure of CuPtW2. Source: Alexandria, functional meta-GGA SCAN.

Structure (POSCAR):
```
CuPtW2
1.0
2.6870 0.0000 0.0000
0.0000 3.8796 0.0000
0.0000 0.0000 5.5748
W Pt Cu
2 1 1
Direct
0.0000 0.0000 0.9975
0.5000 0.5000 0.2643
0.5000 0.5000 0.7367
0.0000 0.0000 0.5015
```

Output
Formation energy from the elements: 0.03 eV/atom
SG: Pmm2
DOS at the Fermi energy: 0.54 states/eV/atom
Total energy: -56.160 eV per atom

[4]
A PBEsol-optimized structure of CuPtW2. Source: Alexandria, functional meta-GGA SCAN.

Structure (POSCAR):
```
CuPtW2
1.0
3.6298 0.0000 0.0000
0.0000 3.8125 0.0000
-1.8149 -1.9062 4.1587
Cu W Pt
1 2 1
Direct
0.5000 0.0000 0.0000
0.7520 0.7520 0.5041
0.2480 0.2480 0.4959
0.0000 0.5000 0.0000
```

Output
Formation energy from the elements: 0.06 eV/atom
SG: Immm
DOS at the Fermi energy: 0.87 states/eV/atom
Total energy: -56.136 eV per atom